# 1
A plane-wave DFT calculation with PBE-GGA was carried out for La2PmNd6Mg after structural relaxation.

Lattice parameters (Å, degrees): 8.721 8.721 9.636 96.46 96.46 105.15
Positions (direct):
La 0.204 0.266 0.093
La 0.266 0.204 0.593
La 0.734 0.796 0.407
La 0.796 0.734 0.907
Pm 0.069 0.931 0.250
Pm 0.931 0.069 0.750
Nd 0.034 0.466 0.827
Nd 0.079 0.733 0.576
Nd 0.267 0.921 0.924
Nd 0.330 0.571 0.405
Nd 0.429 0.670 0.095
Nd 0.466 0.034 0.327
Nd 0.534 0.966 0.673
Nd 0.571 0.330 0.905
Nd 0.670 0.429 0.595
Nd 0.733 0.079 0.076
Nd 0.921 0.267 0.424
Nd 0.966 0.534 0.173
Mg 0.400 0.600 0.750
Mg 0.600 0.400 0.250

Values from the calculation:
density: 6.3 g/cm3
energy: -4.38 eV per atom
energy of formation: 0.101 eV/atom

=====

# 2
A plane-wave DFT calculation with PBE-GGA was carried out for LaPm5Nd2Mg after structural relaxation.

Lattice parameters (Å, degrees): 10.512 10.512 10.895 90.00 90.00 149.06
Positions (direct):
La 0.202 0.798 0.750
La 0.798 0.202 0.250
Pm 0.013 0.987 0.750
Pm 0.289 0.711 0.050
Pm 0.289 0.711 0.450
Pm 0.384 0.616 0.750
Pm 0.500 0.500 0.000
Pm 0.500 0.500 0.500
Pm 0.616 0.384 0.250
Pm 0.711 0.289 0.550
Pm 0.711 0.289 0.950
Pm 0.987 0.013 0.250
Nd 0.115 0.885 0.041
Nd 0.115 0.885 0.459
Nd 0.885 0.115 0.541
Nd 0.885 0.115 0.959
Mg 0.406 0.594 0.250
Mg 0.594 0.406 0.750

Values from the calculation:
density: 6.3 g/cm3
energy: -4.34 eV per atom
energy of formation: 0.085 eV/atom

=====

# 3
A plane-wave DFT calculation with PBE-GGA was carried out for LaPm2NdMg after structural relaxation.

Lattice parameters (Å, degrees): 6.262 6.262 11.407 90.28 90.28 47.30
Positions (direct):
La 0.046 0.046 0.346
La 0.954 0.954 0.654
Pm 0.146 0.146 0.046
Pm 0.346 0.346 0.447
Pm 0.654 0.654 0.553
Pm 0.854 0.854 0.954
Nd 0.253 0.253 0.758
Nd 0.747 0.747 0.242
Mg 0.446 0.446 0.139
Mg 0.554 0.554 0.861

Values from the calculation:
density: 6.0 g/cm3
energy: -4.14 eV per atom
energy of formation: 0.020 eV/atom

=====

# 4
A plane-wave DFT calculation with PBE-GGA was carried out for La5PmNd2Mg after structural relaxation.

Lattice parameters (Å, degrees): 5.692 11.105 10.550 90.00 105.64 90.00
Positions (direct):
La 0.000 0.000 0.001
La 0.000 0.500 0.999
La 0.120 0.251 0.242
La 0.212 0.951 0.425
La 0.214 0.552 0.427
La 0.491 0.251 0.978
La 0.509 0.751 0.022
La 0.786 0.052 0.573
La 0.788 0.451 0.575
La 0.880 0.751 0.758
Pm 0.308 0.251 0.614
Pm 0.692 0.751 0.386
Nd 0.384 0.540 0.769
Nd 0.384 0.962 0.768
Nd 0.616 0.040 0.231
Nd 0.616 0.462 0.232
Mg 0.092 0.749 0.189
Mg 0.908 0.249 0.811

Values from the calculation:
density: 6.0 g/cm3
energy: -4.43 eV per atom
energy of formation: 0.074 eV/atom

=====

| no. | spin magnetization (μB/f.u.) |
| --- | --- |
| 1 | 0.00 |
| 2 | 0.00 |
| 3 | 0.00 |
| 4 | 0.00 |